DFT (PBE) results for a geometry-optimized TbPm5Sm5 structure.

Cell: 6.190 6.190 11.653 Å, 90.00 90.00 120.00°
Sites, in units of the cell vectors:
Tb1 0.000 0.000 0.000
Pm1 0.000 0.000 0.319
Pm2 0.000 0.000 0.681
Pm3 0.333 0.667 0.157
Pm4 0.333 0.667 0.843
Pm5 0.667 0.333 0.000
Sm1 0.004 0.502 0.500
Sm2 0.498 0.502 0.500
Sm3 0.498 0.996 0.500
Sm4 0.667 0.333 0.264
Sm5 0.667 0.333 0.736

V = 386.66 Å³/cell
E above lowest polymorph = 160 meV per atom
Calculated formation energy = 0.30 eV per atom